(1)
! Si2PtAu (PBE, relaxed); values from VASP
&SYSTEM
  ibrav = 0, nat = 4, ntyp = 3
/
ATOMIC_SPECIES
Pt 195.08 Pt.upf
Si 28.09 Si.upf
Au 196.97 Au.upf
ATOMIC_POSITIONS crystal
Pt 0.5000 0.5000 0.7500
Si 0.0000 0.0000 0.5246
Si 0.0000 0.0000 0.9754
Au 0.5000 0.5000 0.2500
CELL_PARAMETERS angstrom
3.0388 0.0252 0.0000
-0.0222 3.0389 0.0000
0.0000 0.0000 6.9971
! Energy above the most stable polymorph in this dataset ... 5.93 kcal/mol of atoms
! Mass density ... 11.52 g/cm3
! Energy ... -19.90 eV per formula unit
! Magnetization ... 0.000 μB per cell
! Formation energy without anion corrections ... 66.3 meV/atom

---

(2)
! Si3PtAu (PBE, relaxed); values from VASP
&SYSTEM
  ibrav = 0, nat = 5, ntyp = 3
/
ATOMIC_SPECIES
Pt 195.08 Pt.upf
Si 28.09 Si.upf
Au 196.97 Au.upf
ATOMIC_POSITIONS crystal
Pt 0.0000 0.0000 0.0000
Si 0.0000 0.5000 0.0000
Si 0.5000 0.0000 0.0000
Au 0.5000 0.5000 0.5000
Si 0.0000 0.0000 0.5000
CELL_PARAMETERS angstrom
4.7096 0.0000 0.0000
0.0000 4.7096 0.0000
0.0000 0.0000 4.7096
! Energy above the most stable polymorph in this dataset ... 0.00 kcal/mol of atoms
! Mass density ... 7.57 g/cm3
! Energy ... -22.87 eV per formula unit
! Magnetization ... 0.000 μB per cell
! Formation energy without anion corrections ... 542.7 meV/atom

---

(3)
! Si2PtAu (PBE, relaxed); values from VASP
&SYSTEM
  ibrav = 0, nat = 4, ntyp = 3
/
ATOMIC_SPECIES
Pt 195.08 Pt.upf
Si 28.09 Si.upf
Au 196.97 Au.upf
ATOMIC_POSITIONS crystal
Pt 0.7783 0.7783 0.7353
Si 0.2373 0.2373 0.0838
Au 0.4760 0.4760 0.5391
Si 0.0085 0.0085 0.1418
CELL_PARAMETERS angstrom
5.2248 0.0001 0.0016
4.0680 3.2788 0.0016
-1.2044 -0.4250 3.9887
! Energy above the most stable polymorph in this dataset ... 0.83 kcal/mol of atoms
! Mass density ... 10.89 g/cm3
! Energy ... -20.78 eV per formula unit
! Magnetization ... 0.000 μB per cell
! Formation energy without anion corrections ... -154.9 meV/atom

---

(4)
! SiPtAu (PBE, relaxed); values from VASP
&SYSTEM
  ibrav = 0, nat = 12, ntyp = 3
/
ATOMIC_SPECIES
Pt 195.08 Pt.upf
Au 196.97 Au.upf
Si 28.09 Si.upf
ATOMIC_POSITIONS crystal
Pt 0.0953 0.2849 0.1621
Au 0.8317 0.0874 0.6866
Au 0.3317 0.9126 0.8134
Au 0.1683 0.9126 0.3134
Si 0.0441 0.3825 0.6843
Pt 0.9047 0.7151 0.8379
Pt 0.4047 0.2849 0.6621
Si 0.9559 0.6175 0.3157
Si 0.5441 0.6175 0.8157
Au 0.6683 0.0874 0.1866
Si 0.4559 0.3825 0.1843
Pt 0.5953 0.7151 0.3379
CELL_PARAMETERS angstrom
6.3046 0.0000 0.0000
0.0000 6.9296 0.0846
0.0000 -1.6272 4.7025
! Energy above the most stable polymorph in this dataset ... 0.00 kcal/mol of atoms
! Mass density ... 13.53 g/cm3
! Energy ... -15.72 eV per formula unit
! Magnetization ... 0.000 μB per cell
! Formation energy without anion corrections ... -327.6 meV/atom

---

(5)
! Si2PtAu (PBE, relaxed); values from VASP
&SYSTEM
  ibrav = 0, nat = 4, ntyp = 3
/
ATOMIC_SPECIES
Pt 195.08 Pt.upf
Si 28.09 Si.upf
Au 196.97 Au.upf
ATOMIC_POSITIONS crystal
Pt 0.2211 0.7211 0.5000
Si 0.7643 0.2643 0.5000
Si 0.0001 0.0001 0.0000
Au 0.5145 0.5145 0.0000
CELL_PARAMETERS angstrom
-0.7600 -2.4933 -4.4329
-1.4685 -4.8695 0.7593
-1.2260 4.9400 0.7340
! Energy above the most stable polymorph in this dataset ... 5.16 kcal/mol of atoms
! Mass density ... 11.66 g/cm3
! Energy ... -20.03 eV per formula unit
! Magnetization ... 0.000 μB per cell
! Formation energy without anion corrections ... 32.8 meV/atom

---

(6)
! SiPtAu2 (PBE, relaxed); values from VASP
&SYSTEM
  ibrav = 0, nat = 4, ntyp = 3
/
ATOMIC_SPECIES
Pt 195.08 Pt.upf
Si 28.09 Si.upf
Au 196.97 Au.upf
ATOMIC_POSITIONS crystal
Pt 0.0000 0.0000 0.5464
Si 0.5000 0.5000 0.7205
Au 0.0000 0.0000 0.9747
Au 0.5000 0.5000 0.2584
CELL_PARAMETERS angstrom
-1.0282 2.7693 -0.9314
-2.7785 -0.5278 1.2631
2.1655 2.7996 5.9336
! Mass density ... 15.46 g/cm3
! Energy ... -18.42 eV per formula unit
! Magnetization ... 0.000 μB per cell
! Formation energy without anion corrections ... -100.7 meV/atom

---

(7)
! SiPtAu (PBE, relaxed); values from VASP
&SYSTEM
  ibrav = 0, nat = 3, ntyp = 3
/
ATOMIC_SPECIES
Pt 195.08 Pt.upf
Si 28.09 Si.upf
Au 196.97 Au.upf
ATOMIC_POSITIONS crystal
Pt 0.3333 0.6667 0.4986
Si 0.6667 0.3333 0.5026
Au 0.0000 0.0000 0.9988
CELL_PARAMETERS angstrom
4.1336 0.0000 0.0000
-2.0668 3.5798 0.0000
0.0000 0.0000 3.3523
! Energy above the most stable polymorph in this dataset ... 2.68 kcal/mol of atoms
! Mass density ... 14.06 g/cm3
! Energy ... -15.37 eV per formula unit
! Magnetization ... 0.000 μB per cell
! Formation energy without anion corrections ... -211.2 meV/atom

---

(8)
! SiPtAu2 (PBE, relaxed); values from VASP
&SYSTEM
  ibrav = 0, nat = 4, ntyp = 3
/
ATOMIC_SPECIES
Au 196.97 Au.upf
Si 28.09 Si.upf
Pt 195.08 Pt.upf
ATOMIC_POSITIONS crystal
Au 0.0098 0.0098 0.0098
Au 0.2474 0.2474 0.2474
Si 0.7557 0.7557 0.7557
Pt 0.4871 0.4871 0.4871
CELL_PARAMETERS angstrom
7.9058 -0.1404 -0.0830
7.3025 3.0321 -0.0830
7.3025 1.3885 2.6968
! Mass density ... 14.77 g/cm3
! Energy ... -18.61 eV per formula unit
! Magnetization ... 0.000 μB per cell
! Formation energy without anion corrections ... -147.2 meV/atom

---

(9)
! Si2PtAu (PBE, relaxed); values from VASP
&SYSTEM
  ibrav = 0, nat = 4, ntyp = 3
/
ATOMIC_SPECIES
Si 28.09 Si.upf
Pt 195.08 Pt.upf
Au 196.97 Au.upf
ATOMIC_POSITIONS crystal
Si 0.5000 0.5000 0.2354
Pt 0.5000 0.5000 0.7890
Si 0.0000 0.0000 0.9865
Au 0.0000 0.0000 0.4891
CELL_PARAMETERS angstrom
-2.1101 -0.4005 1.9194
-0.3325 -2.7055 -0.9309
5.1004 -2.3849 5.1094
! Energy above the most stable polymorph in this dataset ... 5.08 kcal/mol of atoms
! Mass density ... 11.80 g/cm3
! Energy ... -20.05 eV per formula unit
! Magnetization ... 0.000 μB per cell
! Formation energy without anion corrections ... 29.2 meV/atom

---

(10)
! Si2PtAu (PBE, relaxed); values from VASP
&SYSTEM
  ibrav = 0, nat = 4, ntyp = 3
/
ATOMIC_SPECIES
Si 28.09 Si.upf
Au 196.97 Au.upf
Pt 195.08 Pt.upf
ATOMIC_POSITIONS crystal
Si 0.0367 0.0367 0.0000
Si 0.4633 0.4633 0.0000
Au 0.7500 0.2500 0.5000
Pt 0.2500 0.7500 0.5000
CELL_PARAMETERS angstrom
-3.9185 3.9293 -1.6415
-1.2735 0.9993 -5.5559
0.2102 -3.3753 4.6959
! Energy above the most stable polymorph in this dataset ... 7.32 kcal/mol of atoms
! Mass density ... 11.06 g/cm3
! Energy ... -19.66 eV per formula unit
! Magnetization ... 0.000 μB per cell
! Formation energy without anion corrections ... 126.6 meV/atom

---

(11)
! Si4PtAu (PBE, relaxed); values from VASP
&SYSTEM
  ibrav = 0, nat = 6, ntyp = 3
/
ATOMIC_SPECIES
Au 196.97 Au.upf
Si 28.09 Si.upf
Pt 195.08 Pt.upf
ATOMIC_POSITIONS crystal
Au 0.7500 0.7500 0.7500
Si 0.3747 0.3747 0.3747
Si 0.3747 0.3747 0.8759
Si 0.3747 0.8759 0.3747
Pt 0.0000 0.0000 0.0000
Si 0.8759 0.3747 0.3747
CELL_PARAMETERS angstrom
3.9262 -2.6802 1.9014
2.4089 1.6281 4.2144
-0.5384 -2.5542 4.4046
! Mass density ... 8.83 g/cm3
! Energy ... -28.26 eV per formula unit
! Magnetization ... 0.000 μB per cell
! Formation energy without anion corrections ... 458.5 meV/atom

---

(12)
! SiPtAu2 (PBE, relaxed); values from VASP
&SYSTEM
  ibrav = 0, nat = 4, ntyp = 3
/
ATOMIC_SPECIES
Au 196.97 Au.upf
Pt 195.08 Pt.upf
Si 28.09 Si.upf
ATOMIC_POSITIONS crystal
Au 0.0000 0.0000 0.0000
Au 0.5000 0.5000 0.0000
Pt 0.5000 0.0000 0.5000
Si 0.0000 0.5000 0.5000
CELL_PARAMETERS angstrom
-3.7700 -1.9832 -2.0564
3.6557 -3.0017 0.0271
-0.9553 -1.1378 2.8487
! Mass density ... 15.23 g/cm3
! Energy ... -17.71 eV per formula unit
! Magnetization ... 0.000 μB per cell
! Formation energy without anion corrections ... 78.0 meV/atom